A plane-wave DFT calculation with PBE was carried out for a geometry-optimized KAcPr2S4 structure.

Cell: 7.2652 4.1829 7.4424 Å, 90.00 108.72 90.00°
Last column: nearest neighbours and their distance in Å.
Atoms (fractional coordinates):
K1 0.0000 0.0000 0.0000  6 S 3.06-3.10
Ac1 0.5000 0.5000 0.0000  6 S 3.03-3.04
Pr1 0.0000 0.5000 0.5000  6 S 2.95
Pr2 0.5000 0.0000 0.5000  6 S 2.89-2.92
S1 0.2489 0.0000 0.7371  3 Pr 2.92-2.95, 2 Ac 3.04, 1 K 3.06
S2 0.2637 0.5000 0.2702  3 Pr 2.89-2.95, 1 Ac 3.03, 2 K 3.10
S3 0.7363 0.5000 0.7298  3 Pr 2.89-2.95, 1 Ac 3.03, 2 K 3.10
S4 0.7511 0.0000 0.2629  3 Pr 2.92-2.95, 2 Ac 3.04, 1 K 3.06

Calculated values
**Total moment**: 0.00 μB per cell
**Symmetry**: P2/m
**Crystal system**: monoclinic
**Energy relative to the elements, uncorrected**: -1.91 eV per atom


A plane-wave DFT calculation with PBE was carried out for a geometry-optimized Pr8Ho3Mg structure.

Cell: 8.5037 8.5037 8.5037 Å, 118.14 118.14 93.25°
Last column: nearest neighbours and their distance in Å.
Atoms (fractional coordinates):
Pr1 0.1244 0.1244 0.7444  3 Pr 3.16-3.38, 3 Ho 3.30-3.44, 1 Mg 3.34
Pr2 0.2401 0.7357 0.0000  1 Ho 3.07, 1 Mg 3.12, 2 Pr 3.20-3.38
Pr3 0.2643 0.2643 0.5044  1 Ho 3.07, 1 Mg 3.12, 2 Pr 3.20-3.38
Pr4 0.3800 0.3800 0.2556  3 Pr 3.16-3.38, 3 Ho 3.30-3.44, 1 Mg 3.34
Pr5 0.6200 0.8756 0.0000  3 Pr 3.16-3.38, 3 Ho 3.30-3.44, 1 Mg 3.34
Pr6 0.7357 0.2401 0.0000  1 Ho 3.07, 1 Mg 3.12, 2 Pr 3.20-3.38
Pr7 0.7599 0.7599 0.4956  1 Ho 3.07, 1 Mg 3.12, 2 Pr 3.20-3.38
Pr8 0.8756 0.6200 0.0000  3 Pr 3.16-3.38, 3 Ho 3.30-3.44, 1 Mg 3.34
Ho1 0.2500 0.7500 0.5000  4 Pr 3.44
Ho2 0.5000 0.5000 0.0000  8 Pr 3.07-3.30
Ho3 0.7500 0.2500 0.5000  4 Pr 3.44
Mg1 0.0000 0.0000 0.0000  8 Pr 3.12-3.34

Calculated values
**Total moment**: 0.00 μB per cell
**Symmetry**: I-42m
**Crystal system**: tetragonal
**E_form**: 0.52 eV per atom


A plane-wave DFT calculation with PBE was carried out for a geometry-optimized Ba2YPbS5 structure.

Cell: 9.2260 9.2260 13.1673 Å, 90.00 90.00 153.28°
Last column: nearest neighbours and their distance in Å.
Atoms (fractional coordinates):
Ba1 0.1128 0.8872 0.5000  6 S 3.11-3.39
Ba2 0.1410 0.8590 0.1210  8 S 3.22-3.41
Ba3 0.8590 0.1410 0.6210  8 S 3.22-3.41
Ba4 0.8872 0.1128 0.0000  6 S 3.11-3.39
Y1 0.2126 0.7874 0.8313  6 S 2.69-2.89
Y2 0.7874 0.2126 0.3313  6 S 2.69-2.89
Pb1 0.4677 0.5323 0.2702  4 S 2.63-2.88
Pb2 0.5323 0.4677 0.7702  4 S 2.63-2.88
S1 0.0574 0.9426 0.8883  2 Pb 2.68, 1 Y 2.89
S2 0.2844 0.7156 0.4661  2 Y 2.77
S3 0.3173 0.6827 0.1937  2 Y 2.85, 1 Pb 2.88
S4 0.3618 0.6382 0.8137  1 Y 2.69
S5 0.4901 0.5099 0.5788  1 Pb 2.63
S6 0.5099 0.4901 0.0788  1 Pb 2.63
S7 0.6382 0.3618 0.3137  1 Y 2.69
S8 0.6827 0.3173 0.6937  2 Y 2.85, 1 Pb 2.88
S9 0.7156 0.2844 0.9661  2 Y 2.77
S10 0.9426 0.0574 0.3883  2 Pb 2.68, 1 Y 2.89

Calculated values
**Total moment**: 0.00 μB per cell
**Symmetry**: Cmc2_1
**Crystal system**: orthorhombic
**Energy relative to the elements, uncorrected**: -1.57 eV per atom


A plane-wave DFT calculation with PBE was carried out for a geometry-optimized Pr15Ho4Th structure.

Cell: 5.2003 5.2003 25.8932 Å, 90.00 90.00 90.00°
Last column: nearest neighbours and their distance in Å.
Atoms (fractional coordinates):
Pr1 0.0000 0.0000 0.0000  8 Pr 3.65, 4 Th 3.68
Pr2 0.0000 0.0000 0.2022  8 Pr 3.63-3.73, 4 Ho 3.68
Pr3 0.0000 0.0000 0.4006  8 Pr 3.66-3.68, 4 Ho 3.68
Pr4 0.0000 0.0000 0.5994  8 Pr 3.66-3.68, 4 Ho 3.68
Pr5 0.0000 0.0000 0.7978  8 Pr 3.63-3.73, 4 Ho 3.68
Pr6 0.0000 0.5000 0.0989  2 Th 3.65, 8 Pr 3.65-3.73, 2 Ho 3.70
Pr7 0.0000 0.5000 0.3000  8 Pr 3.63-3.68, 4 Ho 3.66-3.67
Pr8 0.0000 0.5000 0.5000  8 Pr 3.66-3.68, 4 Ho 3.67
Pr9 0.0000 0.5000 0.7000  8 Pr 3.63-3.68, 4 Ho 3.66-3.67
Pr10 0.0000 0.5000 0.9011  8 Pr 3.65-3.73, 2 Th 3.65, 2 Ho 3.70
Pr11 0.5000 0.0000 0.0989  2 Th 3.65, 8 Pr 3.65-3.73, 2 Ho 3.70
Pr12 0.5000 0.0000 0.3000  8 Pr 3.63-3.68, 4 Ho 3.66-3.67
Pr13 0.5000 0.0000 0.5000  8 Pr 3.66-3.68, 4 Ho 3.67
Pr14 0.5000 0.0000 0.7000  8 Pr 3.63-3.68, 4 Ho 3.66-3.67
Pr15 0.5000 0.0000 0.9011  8 Pr 3.65-3.73, 2 Th 3.65, 2 Ho 3.70
Ho1 0.5000 0.5000 0.2006  12 Pr 3.66-3.70
Ho2 0.5000 0.5000 0.4001  12 Pr 3.67-3.68
Ho3 0.5000 0.5000 0.5999  12 Pr 3.67-3.68
Ho4 0.5000 0.5000 0.7994  12 Pr 3.66-3.70
Th1 0.5000 0.5000 0.0000  12 Pr 3.65-3.68

Calculated values
**Total moment**: 0.00 μB per cell
**Symmetry**: P4/mmm
**Crystal system**: tetragonal
**E_form**: 0.03 eV per atom